A geometry-optimized BaMgCoF6 structure. Source: the Alexandria database, functional PBE with a Hubbard U.

Lattice parameters (Å, degrees): 5.4314 5.4314 11.2039 90.00 90.00 120.00
Closest atoms and distances in Å follow each position.
Space group P-31c (No. 163)
Inequivalent atoms, fractional coordinates:
Ba  0.0000  0.0000  0.0000 (multiplicity 2)  6 F 2.64
Mg  0.3333  0.6667  0.2500 (multiplicity 2)  6 F 2.02
Co  0.3333  0.6667  0.7500 (multiplicity 2)  6 F 2.07
F  0.0067  0.3781  0.1498 (multiplicity 12)  1 Mg 2.02, 1 Co 2.07

Summary:
- N(E_F) (states/eV/cell) = 0.0
- total magnetic moment (μB per formula unit) = 3.000
- theoretical density (g cm⁻³) = 3.882
- final energy (eV per cell) = -97.1